# 1
{"formula": "NdSm2H", "functional": "PBE-GGA", "state": "optimized geometry", "lattice": [[-3.143, -0.403, 1.299], [-0.864, -1.936, -2.690], [2.675, -7.120, 4.266]], "species": ["Sm", "Sm", "Nd", "H"], "fractional_positions": [[0.000, 0.000, 0.813], [0.000, 0.000, 0.187], [0.500, 0.500, 0.500], [0.500, 0.500, 0.000]], "dos_at_fermi_per_ev_fu": 3.5}

---

# 2
{"formula": "YBeTl", "functional": "PBE-GGA", "state": "optimized geometry", "lattice": [[9.791, 0.064, -0.094], [-1.542, 3.535, 0.005], [-0.773, 3.867, 3.705]], "species": ["Tl", "Tl", "Y", "Y", "Be", "Be"], "fractional_positions": [[0.004, 0.495, 0.142], [0.544, 0.806, 0.371], [0.219, 0.818, 0.535], [0.779, 0.158, 0.755], [0.450, 0.664, 0.919], [0.337, 0.996, 0.975]], "dos_at_fermi_per_ev_fu": 1.1, "formation_energy_ev_per_atom": -0.0561}

---

# 3
{"formula": "Cd8Ga2Hg", "functional": "PBE-GGA", "state": "optimized geometry", "lattice": [[0.000, 3.812, 0.628], [-7.053, 0.044, -0.272], [-3.759, -3.366, 8.539]], "species": ["Ga", "Hg", "Cd", "Cd", "Ga", "Cd", "Cd", "Cd", "Cd", "Cd", "Cd"], "fractional_positions": [[0.231, 0.385, 0.463], [0.500, 0.000, 0.000], [0.688, 0.122, 0.377], [0.144, 0.841, 0.287], [0.769, 0.615, 0.537], [0.312, 0.878, 0.623], [0.403, 0.438, 0.805], [0.048, 0.284, 0.096], [0.856, 0.159, 0.713], [0.952, 0.716, 0.904], [0.597, 0.562, 0.195]], "dos_at_fermi_per_ev_fu": 3.0, "formation_energy_ev_per_atom": 0.0349}

---

no.,E above lowest polymorph (eV per formula unit),M_tot (μB per cell)
1,1.14,0.00
2,0.19,0.26
3,0.00,0.00